A plane-wave DFT calculation with PBE-GGA was carried out for a geometry-optimized Pu2BeGaPt6 structure.

```
data_Pu2BeGaPt6
_chemical_formula_sum 'Pu8 Be4 Ga4 Pt24'
_cell_length_a 9.104
_cell_length_b 9.104
_cell_length_c 9.104
_cell_angle_alpha 90.00
_cell_angle_beta 90.00
_cell_angle_gamma 90.00
_space_group_name_H-M_alt 'F m -3 m'
_space_group_IT_number 225
_space_group_name_Hall '-F 4 2 3'
loop_
_atom_site_label
_atom_site_type_symbol
_atom_site_fract_x
_atom_site_fract_y
_atom_site_fract_z
_atom_site_occupancy
Pu1 Pu 0.250 0.250 0.250 1
Be1 Be 0.000 0.000 0.000 1
Ga1 Ga 0.000 0.000 0.500 1
Pt1 Pt 0.000 0.000 0.235 1
```

Output
* DFT formation energy: -404 kJ/mol of formula units
* raw total energy: -7.58 eV/atom
* M_tot: 41.47 μB/cell
* V: 18.86 A^3/atom